Record 1
LiUInSe3 | the Alexandria database | PBE | optimized geometry; raw formation energy = -0.94 eV per atom; calculated total energy = -5.34 eV per atom; symmetry = No. 11
1.0
-1.3400 1.0031 -3.8223
-8.1679 1.8779 3.3562
4.6583 7.9876 0.4632
Li U In Se
2 2 2 6
direct
0.2500 0.0767 0.5956
0.7500 0.9233 0.4044
0.2500 0.6730 0.1560
0.7500 0.3270 0.8440
0.7500 0.8025 0.7504
0.2500 0.1975 0.2496
0.2500 0.7891 0.4633
0.7500 0.8726 0.1202
0.7500 0.4553 0.1622
0.7500 0.2109 0.5367
0.2500 0.5447 0.8378
0.2500 0.1274 0.8798

Record 2
CdRuRh2N | the Alexandria database | PBE | optimized geometry; raw formation energy = 0.10 eV per atom; calculated total energy = -6.55 eV per atom; symmetry = No. 123
1.0
-0.3585 -1.7517 3.7643
-0.9097 -3.6534 -1.7867
3.8961 -0.9381 -0.0655
Ru N Rh Cd
1 1 2 1
direct
0.0000 0.0000 0.5000
0.0000 0.0000 0.0000
0.0000 0.5000 0.0000
0.5000 0.0000 0.0000
0.5000 0.5000 0.5000

Record 3
KLiBe2 | the Alexandria database | PBE | optimized geometry; energy relative to the lowest polymorph listed for this composition = 918 meV per atom; calculated total energy = -1.52 eV per atom; symmetry = No. 123
1.0
5.0927 0.0000 0.0000
0.0000 3.9550 0.0000
0.0000 0.0000 3.9550
Be K Li
2 1 1
direct
0.0000 0.0000 0.0000
0.0000 0.5000 0.5000
0.5000 0.5000 0.0000
0.5000 0.0000 0.5000

Record 4
Tb6HgSb2 | the Alexandria database | PBE | optimized geometry; raw formation energy = -0.61 eV per atom; calculated total energy = -4.65 eV per atom; symmetry = No. 189
1.0
4.1938 0.0000 0.0000
0.0000 8.4392 0.0000
0.0000 -4.2196 7.3092
Tb Hg Sb
6 1 2
direct
0.5000 0.5961 0.0000
0.5000 0.4039 0.4039
0.5000 0.0000 0.5961
0.0000 0.2601 0.0000
0.0000 0.7400 0.7402
0.0000 0.9999 0.2598
0.5000 0.0002 0.0000
0.0000 0.3332 0.6666
0.0000 0.6667 0.3335

Record 5
TaBeCo2 | the Alexandria database | PBE | optimized geometry; calculated total energy = -7.23 eV per atom; symmetry = No. 122
1.0
6.2659 0.0000 0.0000
0.0000 6.2659 0.0000
3.1330 3.1330 2.4607
Be Co Ta
2 4 2
direct
0.5000 0.5000 0.0000
0.2500 0.7500 0.5000
0.5608 0.1250 0.2500
0.1892 0.6250 0.2500
0.3750 0.4392 0.7500
0.8750 0.8108 0.7500
0.0000 0.0000 0.0000
0.7500 0.2500 0.5000

Record 6
KWAu2 | the Alexandria database | PBE | optimized geometry; energy relative to the lowest polymorph listed for this composition = 263 meV per atom; calculated total energy = -4.51 eV per atom; symmetry = No. 44
1.0
-6.3828 -0.4243 -1.2141
-4.6247 -1.7935 4.2178
4.7314 3.8162 -2.3334
Au K W
2 1 1
direct
0.0101 0.0101 0.0000
0.7730 0.2730 0.5000
0.4988 0.4988 0.0000
0.2182 0.7182 0.5000

Record 7
Tb8TlSn5 | the Alexandria database | PBE | optimized geometry; calculated total energy = -4.90 eV per atom; symmetry = No. 82
1.0
-6.8813 -1.6160 -3.9309
3.6048 -6.9280 2.1033
-1.6577 4.3112 6.6394
Tb Tl Sn
8 1 5
direct
0.1273 0.7529 0.0199
0.9801 0.1074 0.7330
0.7626 0.2469 0.3707
0.6293 0.3919 0.8762
0.4843 0.6081 0.2374
0.6256 0.8926 0.8727
0.2670 0.2471 0.3744
0.1238 0.7531 0.5157
0.2500 0.5000 0.7500
0.0023 0.3762 0.1272
0.8728 0.8751 0.2490
0.7510 0.6238 0.6262
0.5000 0.0000 0.5000
0.3738 0.1249 0.9977

Record 8
NbCd | the Alexandria database | PBE | optimized geometry; calculated total energy = -5.26 eV per atom; symmetry = No. 70
1.0
10.7472 0.0000 0.0000
0.0000 20.0078 0.0000
0.0000 0.0000 2.8863
Nb Cd
16 16
direct
0.0000 0.1181 0.0000
0.0000 0.8819 0.0000
0.2500 0.6319 0.2500
0.2500 0.8681 0.2500
0.0000 0.6181 0.5000
0.0000 0.3819 0.5000
0.2500 0.1319 0.7500
0.2500 0.3681 0.7500
0.5000 0.1181 0.5000
0.5000 0.8819 0.5000
0.7500 0.6319 0.7500
0.7500 0.8681 0.7500
0.5000 0.6181 0.0000
0.5000 0.3819 0.0000
0.7500 0.1319 0.2500
0.7500 0.3681 0.2500
0.6311 0.0000 0.0000
0.3689 0.0000 0.0000
0.6189 0.7500 0.2500
0.8811 0.7500 0.2500
0.6311 0.5000 0.5000
0.3689 0.5000 0.5000
0.6189 0.2500 0.7500
0.8811 0.2500 0.7500
0.1311 0.0000 0.5000
0.8689 0.0000 0.5000
0.1189 0.7500 0.7500
0.3811 0.7500 0.7500
0.1311 0.5000 0.0000
0.8689 0.5000 0.0000
0.1189 0.2500 0.2500
0.3811 0.2500 0.2500